Density functional theory data (PBE) for an optimized crystal structure of Sm4ZnCl5.

Output
Its raw formation energy is -35.9 kcal/mol of atoms. For the raw total energy, the calculation gives -44.931 eV per cell. As for the space group: C2/m (12).

a = 3.9159 Å, b = 8.5302 Å, c = 9.1978 Å
α = 102.63°, β = 102.29°, γ = 90.00°
Fractional positions:
Sm 0.6583 0.0852 0.3167
Sm 0.0002 0.2414 0.0004
Sm 0.3417 0.9148 0.6833
Sm 0.9998 0.7586 0.9996
Zn 0.5000 0.0000 0.0000
Cl 0.1657 0.3243 0.3313
Cl 0.1718 0.8454 0.3437
Cl 0.8282 0.1546 0.6563
Cl 0.5000 0.5000 0.0000
Cl 0.8343 0.6757 0.6687


Density functional theory data (PBE) for an optimized crystal structure of TlB2O4.

Output
Its raw formation energy is -35.2 kcal/mol of atoms. For the raw total energy, the calculation gives -92.483 eV per cell. As for the space group: C2/c (15).

a = 6.9335 Å, b = 6.9336 Å, c = 6.9487 Å
α = 109.58°, β = 92.67°, γ = 128.13°
Fractional positions:
Tl 0.1990 0.6990 0.5000
Tl 0.0513 0.0513 0.0000
B 0.6250 0.3750 0.7500
B 0.6250 0.8749 0.2500
B 0.6250 0.3750 0.2500
B 0.1249 0.3750 0.7500
O 0.8347 0.0929 0.2583
O 0.4153 0.6569 0.2416
O 0.8346 0.5764 0.7417
O 0.9257 0.1662 0.7601
O 0.4061 0.1656 0.2400
O 0.4153 0.1737 0.7584
O 0.3242 0.5838 0.7399
O 0.8439 0.5843 0.2601


Density functional theory data (PBE) for an optimized crystal structure of Sc5GaSe4.

Output
Its raw formation energy is -32.8 kcal/mol of atoms. For the raw total energy, the calculation gives -62.850 eV per cell. As for the space group: I4/m (87).

a = 5.4805 Å, b = 6.7343 Å, c = 6.7343 Å
α = 80.47°, β = 65.99°, γ = 65.99°
Fractional positions:
Sc 0.9044 0.3891 0.8042
Sc 0.2934 0.8042 0.6109
Sc 0.7085 0.1958 0.3891
Sc 0.0976 0.6109 0.1958
Sc 0.5012 0.0000 0.0000
Ga 0.0011 0.0000 0.0000
Se 0.4033 0.3991 0.7963
Se 0.8024 0.7963 0.6009
Se 0.1996 0.2037 0.3991
Se 0.5987 0.6009 0.2037


Please write out number 2 again, unchanged.
Density functional theory data (PBE) for an optimized crystal structure of TlB2O4.

Output
Its raw formation energy is -35.2 kcal/mol of atoms. For the raw total energy, the calculation gives -92.483 eV per cell. As for the space group: C2/c (15).

a = 6.9335 Å, b = 6.9336 Å, c = 6.9487 Å
α = 109.58°, β = 92.67°, γ = 128.13°
Fractional positions:
Tl 0.1990 0.6990 0.5000
Tl 0.0513 0.0513 0.0000
B 0.6250 0.3750 0.7500
B 0.6250 0.8749 0.2500
B 0.6250 0.3750 0.2500
B 0.1249 0.3750 0.7500
O 0.8347 0.0929 0.2583
O 0.4153 0.6569 0.2416
O 0.8346 0.5764 0.7417
O 0.9257 0.1662 0.7601
O 0.4061 0.1656 0.2400
O 0.4153 0.1737 0.7584
O 0.3242 0.5838 0.7399
O 0.8439 0.5843 0.2601


Among the records above, which one has the highest raw formation energy?
Sc5GaSe4


raw total energy of number 2 (TlB2O4)?
-92.483 eV per cell